# 1
DFT (PBE) results for crystalline ZnIn2Pt at its relaxed geometry.

- Calculated density: 10.69 g/cm³
- Energy of formation: -0.086 eV per atom
- Total moment: 0.00 μB per cell

Cell and atoms, written as extended XYZ:
```
4
Lattice="-2.110 2.110 4.277 2.110 -2.110 4.277 2.110 2.110 -4.277" Properties=species:S:1:pos:R:3 pbc="T T T"
Zn 0.000 0.000 0.000
In 2.110 0.000 2.138
In 0.000 0.000 4.277
Pt 0.000 2.110 2.138
```

# 2
DFT (PBE) results for crystalline Zn2InPt9 at its relaxed geometry.

- Calculated density: 17.70 g/cm³
- Energy of formation: -0.343 eV per atom
- Total moment: 0.00 μB per cell

Cell and atoms, written as extended XYZ:
```
12
Lattice="3.975 0.000 0.000 0.000 3.975 0.000 0.000 0.000 11.887" Properties=species:S:1:pos:R:3 pbc="T T T"
Zn 0.000 0.000 1.930
Zn 0.000 0.000 9.957
In 0.000 0.000 5.943
Pt 0.000 1.987 0.000
Pt 0.000 1.987 3.859
Pt 0.000 1.987 8.028
Pt 1.987 0.000 0.000
Pt 1.987 0.000 3.859
Pt 1.987 0.000 8.028
Pt 1.987 1.987 1.933
Pt 1.987 1.987 5.943
Pt 1.987 1.987 9.954
```

# 3
DFT (PBE) results for crystalline ZnIn2Pt at its relaxed geometry.

- Calculated density: 10.22 g/cm³
- Energy of formation: -0.263 eV per atom
- Total moment: 0.00 μB per cell

Cell and atoms, written as extended XYZ:
```
4
Lattice="3.730 0.000 0.000 0.000 4.253 0.000 -1.750 0.000 5.020" Properties=species:S:1:pos:R:3 pbc="T T T"
Zn 0.000 0.000 0.000
In 0.086 0.000 2.746
In 1.855 2.127 0.738
Pt 1.935 2.127 3.531
```

# 4
DFT (PBE) results for crystalline ZnIn4Pt at its relaxed geometry.

- Calculated density: 8.14 g/cm³
- Energy of formation: 0.421 eV per atom
- Total moment: 0.00 μB per cell

Cell and atoms, written as extended XYZ:
```
6
Lattice="0.000 4.187 4.187 4.187 0.000 4.187 4.187 4.187 0.000" Properties=species:S:1:pos:R:3 pbc="T T T"
Zn 0.000 0.000 0.000
In 5.230 3.143 3.143
In 3.143 5.230 3.143
In 3.143 3.143 5.230
In 5.230 5.230 5.230
Pt 2.093 2.093 2.093
```

# 5
DFT (PBE) results for crystalline ZnInPt at its relaxed geometry.

- Calculated density: 9.98 g/cm³
- Energy of formation: -0.323 eV per atom
- Total moment: 0.00 μB per cell

Cell and atoms, written as extended XYZ:
```
6
Lattice="3.551 -3.308 0.000 3.551 3.308 0.000 -0.426 0.000 5.316" Properties=species:S:1:pos:R:3 pbc="T T T"
Zn 3.551 2.047 0.000
Zn 3.551 -2.047 0.000
In 1.846 0.000 3.311
In 4.830 0.000 2.005
Pt 2.160 0.000 0.683
Pt 4.516 0.000 4.633
```

# 6
DFT (PBE) results for crystalline ZnIn2Pt at its relaxed geometry.

- Calculated density: 10.13 g/cm³
- Energy of formation: -0.165 eV per atom
- Total moment: 0.00 μB per cell

Cell and atoms, written as extended XYZ:
```
4
Lattice="4.473 -1.856 0.000 4.473 1.856 0.000 -1.017 0.000 4.837" Properties=species:S:1:pos:R:3 pbc="T T T"
Zn 0.000 0.000 0.000
In 1.383 0.000 3.560
In 3.769 0.000 2.006
Pt 6.358 0.000 0.824
```

> Which formula does entry 4 have?

ZnIn4Pt